CeSmBi: optimized geometry, PBE.

Unit cell a=9.9376 b=9.9376 c=9.9376 alpha=160.09 beta=145.90 gamma=39.80
Fractional positions:
Ce (0.2291, 0.0000, 0.2291)
Ce (0.7709, 0.0000, 0.7709)
Sm (0.1697, 0.6697, 0.5000)
Sm (0.8303, 0.3303, 0.5000)
Bi (0.3436, 0.8436, 0.5000)
Bi (0.6564, 0.1564, 0.5000)

## Properties
DFT formation energy ... -0.33 eV per atom

***

Ce2PrMoN4: optimized geometry, PBE.

Unit cell a=6.2645 b=6.2645 c=11.8059 alpha=90.00 beta=90.00 gamma=147.44
Fractional positions:
Ce (0.1322, 0.8678, 0.5441)
Ce (0.1322, 0.8678, 0.9559)
Ce (0.8678, 0.1322, 0.0441)
Ce (0.8678, 0.1322, 0.4559)
Pr (0.3804, 0.6196, 0.7500)
Pr (0.6196, 0.3804, 0.2500)
Mo (0.3569, 0.6431, 0.2500)
Mo (0.6431, 0.3569, 0.7500)
N (0.0517, 0.9483, 0.7500)
N (0.2356, 0.7644, 0.1282)
N (0.2356, 0.7644, 0.3718)
N (0.5000, 0.5000, 0.0000)
N (0.5000, 0.5000, 0.5000)
N (0.7644, 0.2356, 0.6282)
N (0.7644, 0.2356, 0.8718)
N (0.9483, 0.0517, 0.2500)

## Properties
ΔE_f (raw) ... -1.08 eV/atom

***

Li4Hg2N: optimized geometry, PBE.

Unit cell a=8.4956 b=8.4956 c=8.4956 alpha=153.72 beta=153.72 gamma=37.51
Fractional positions:
Li (0.0000, 0.5000, 0.5000)
Li (0.1198, 0.1198, 0.0000)
Li (0.5000, 0.0000, 0.5000)
Li (0.8802, 0.8802, 0.0000)
Hg (0.3114, 0.3114, 0.0000)
Hg (0.6886, 0.6886, 0.0000)
N (0.0000, 0.0000, 0.0000)

## Properties
ΔE_f (raw) ... -0.30 eV/atom

***

LuIn2Au: optimized geometry, PBE.

Unit cell a=4.4537 b=4.4537 c=4.5037 alpha=90.00 beta=90.00 gamma=90.00
Fractional positions:
Lu (0.0000, 0.0000, 0.0000)
In (0.0000, 0.5000, 0.5000)
In (0.5000, 0.0000, 0.5000)
Au (0.5000, 0.5000, 0.0000)

## Properties
DFT formation energy ... -0.44 eV per atom

***

HgTe2Br: optimized geometry, PBE.

Unit cell a=7.2436 b=7.2436 c=7.2436 alpha=37.99 beta=37.99 gamma=37.99
Fractional positions:
Hg (0.0000, 0.0000, 0.0000)
Te (0.2468, 0.2468, 0.2468)
Te (0.5161, 0.5161, 0.5161)
Br (0.7523, 0.7523, 0.7523)

## Properties
ΔE_f (raw) ... -0.01 eV/atom
E above lowest polymorph ... 9.7 kJ/mol of atoms

***

Cs2ZrBBr6: optimized geometry, PBE.

Unit cell a=7.8155 b=7.8155 c=7.8155 alpha=118.56 beta=118.56 gamma=92.50
Fractional positions:
Cs (0.2500, 0.7500, 0.5000)
Cs (0.7500, 0.2500, 0.5000)
Zr (0.0000, 0.0000, 0.0000)
B (0.5000, 0.5000, 0.0000)
Br (0.2397, 0.2397, 0.4794)
Br (0.2397, 0.7603, 0.0000)
Br (0.2506, 0.2506, 0.0000)
Br (0.7494, 0.7494, 0.0000)
Br (0.7603, 0.2397, 0.0000)
Br (0.7603, 0.7603, 0.5206)

## Properties
ΔE_f (raw) ... -0.92 eV/atom

***

Ir4RhW: optimized geometry, PBE.

Unit cell a=6.1199 b=6.1199 c=3.9044 alpha=90.00 beta=90.00 gamma=142.97
Fractional positions:
Ir (0.1599, 0.8401, 0.0000)
Ir (0.3327, 0.6673, 0.5000)
Ir (0.6673, 0.3327, 0.5000)
Ir (0.8401, 0.1599, 0.0000)
Rh (0.0000, 0.0000, 0.5000)
W (0.5000, 0.5000, 0.0000)

## Properties
DFT formation energy ... -0.21 eV per atom
E above lowest polymorph ... 0.0 kJ/mol of atoms

***

HgGe: optimized geometry, PBE.

Unit cell a=10.6448 b=10.6448 c=4.0272 alpha=90.00 beta=90.00 gamma=90.00
Fractional positions:
Hg (0.1005, 0.7546, 0.0000)
Hg (0.2454, 0.1005, 0.0000)
Hg (0.3297, 0.6122, 0.5000)
Hg (0.3878, 0.3297, 0.5000)
Hg (0.6122, 0.6703, 0.5000)
Hg (0.6703, 0.3878, 0.5000)
Hg (0.7546, 0.8995, 0.0000)
Hg (0.8995, 0.2454, 0.0000)
Ge (0.1191, 0.4619, 0.5000)
Ge (0.1343, 0.3220, 0.0000)
Ge (0.3220, 0.8657, 0.0000)
Ge (0.4619, 0.8809, 0.5000)
Ge (0.5381, 0.1191, 0.5000)
Ge (0.6780, 0.1343, 0.0000)
Ge (0.8657, 0.6780, 0.0000)
Ge (0.8809, 0.5381, 0.5000)

## Properties
DFT formation energy ... 0.17 eV per atom
E above lowest polymorph ... 2.0 kJ/mol of atoms

***

Tm12Co6Ir: optimized geometry, PBE.

Unit cell a=8.0987 b=8.0987 c=8.0987 alpha=109.47 beta=109.47 gamma=109.47
Fractional positions:
Tm (0.1031, 0.8084, 0.2947)
Tm (0.1916, 0.2947, 0.4863)
Tm (0.1916, 0.7053, 0.8969)
Tm (0.2947, 0.1031, 0.8084)
Tm (0.2947, 0.4863, 0.1916)
Tm (0.4863, 0.1916, 0.2947)
Tm (0.5137, 0.8084, 0.7053)
Tm (0.7053, 0.5137, 0.8084)
Tm (0.7053, 0.8969, 0.1916)
Tm (0.8084, 0.2947, 0.1031)
Tm (0.8084, 0.7053, 0.5137)
Tm (0.8969, 0.1916, 0.7053)
Co (0.1162, 0.6162, 0.5000)
Co (0.3838, 0.5000, 0.8838)
Co (0.5000, 0.1162, 0.6162)
Co (0.5000, 0.8838, 0.3838)
Co (0.6162, 0.5000, 0.1162)
Co (0.8838, 0.3838, 0.5000)
Ir (0.0000, 0.0000, 0.0000)

## Properties
DFT formation energy ... -0.28 eV per atom

***

ZnPtAu2: optimized geometry, PBE.

Unit cell a=2.8985 b=3.9137 c=5.8226 alpha=90.00 beta=90.00 gamma=90.00
Fractional positions:
Zn (0.0000, 0.0000, 0.0000)
Pt (0.0000, 0.0000, 0.5000)
Au (0.5000, 0.5000, 0.2428)
Au (0.5000, 0.5000, 0.7572)

## Properties
DFT formation energy ... -0.12 eV per atom

***

BaP2WS8: optimized geometry, PBE.

Unit cell a=5.9766 b=5.9766 c=8.7439 alpha=90.00 beta=90.00 gamma=120.00
Fractional positions:
Ba (0.0000, 0.0000, 0.0000)
P (0.3333, 0.6667, 0.7304)
P (0.6667, 0.3333, 0.2696)
W (0.0000, 0.0000, 0.5000)
S (0.0055, 0.6744, 0.3361)
S (0.3256, 0.3310, 0.3361)
S (0.3310, 0.0055, 0.6639)
S (0.3333, 0.6667, 0.9597)
S (0.6667, 0.3333, 0.0403)
S (0.6690, 0.9945, 0.3361)
S (0.6744, 0.6690, 0.6639)
S (0.9945, 0.3256, 0.6639)

## Properties
ΔE_f (raw) ... -0.54 eV/atom

***

SrLa3Hg: optimized geometry, PBE.

Unit cell a=5.9248 b=5.9248 c=5.9248 alpha=90.00 beta=90.00 gamma=90.00
Fractional positions:
Sr (0.0000, 0.0000, 0.0000)
La (0.0000, 0.0000, 0.5000)
La (0.0000, 0.5000, 0.0000)
La (0.5000, 0.0000, 0.0000)
Hg (0.5000, 0.5000, 0.5000)

## Properties
DFT formation energy ... 0.86 eV per atom
E above lowest polymorph ... 71.6 kJ/mol of atoms

***

Repeat the sixth record exactly.
Cs2ZrBBr6: optimized geometry, PBE.

Unit cell a=7.8155 b=7.8155 c=7.8155 alpha=118.56 beta=118.56 gamma=92.50
Fractional positions:
Cs (0.2500, 0.7500, 0.5000)
Cs (0.7500, 0.2500, 0.5000)
Zr (0.0000, 0.0000, 0.0000)
B (0.5000, 0.5000, 0.0000)
Br (0.2397, 0.2397, 0.4794)
Br (0.2397, 0.7603, 0.0000)
Br (0.2506, 0.2506, 0.0000)
Br (0.7494, 0.7494, 0.0000)
Br (0.7603, 0.2397, 0.0000)
Br (0.7603, 0.7603, 0.5206)

## Properties
ΔE_f (raw) ... -0.92 eV/atom